Here is an optimized crystal structure of Dy2Ni3Ge4Ir from Alexandria via LeMat-Bulk. Energies are from PBE.

a b c (Å): 4.072 4.072 9.927
angles (deg): 90.00 90.00 90.00
Positions (direct):
Ge (0.500, 0.500, 0.000)
Ge (0.000, 0.500, 0.359)
Ge (0.500, 0.000, 0.641)
Ge (0.000, 0.000, 0.000)
Dy (0.500, 0.000, 0.244)
Dy (0.000, 0.500, 0.756)
Ir (0.500, 0.500, 0.500)
Ni (0.500, 0.000, 0.875)
Ni (0.000, 0.500, 0.125)
Ni (0.000, 0.000, 0.500)

Summary:
- Fermi-level density of states (states/eV/cell) = 5.04
- E_tot (eV for the cell shown) = -61.01
- symmetry = P-4m2
- formation enthalpy at 0 K (eV/atom) = -0.71

***

Here is an optimized crystal structure of AcPmSnHg from Alexandria via LeMat-Bulk. Energies are from PBE.

a b c (Å): 4.605 4.572 6.571
angles (deg): 90.00 110.51 90.00
Last column: magnetic moment on the atom in μB.
Positions (direct):
Pm (0.137, 0.000, 0.274)  0.05
Sn (0.585, 0.500, 0.170)  0.00
Ac (0.858, 0.500, 0.715)  0.03
Hg (0.420, 0.000, 0.841)  0.01

Summary:
- Fermi-level density of states (states/eV/cell) = 4.46
- E_tot (eV for the cell shown) = -15.48
- symmetry = Amm2
- formation enthalpy at 0 K (eV/atom) = -0.58